# 1
13
Lattice="-2.5284 4.2574 3.7022 2.5284 -4.2574 3.7022 2.5284 4.2574 -3.7022" Properties=species:S:1:pos:R:3 comment="CeB5Rh7 (PBE, relaxed)" volume_a3_per_atom=12.26 formation_energy_ev_per_atom=-0.262 space_group="Imm2, No. 44" pbc="T T T"
Ce 0.0000 0.0000 0.0000
B 1.5904 -1.9665 1.8468
B 3.4665 -1.9665 1.8468
B 1.5904 1.9665 1.8468
B 3.4665 1.9665 1.8468
B 0.0000 4.2574 2.2609
Rh 2.5284 1.7927 -0.3050
Rh 2.5284 0.0000 1.9533
Rh 0.0000 0.0000 2.4069
Rh 0.0000 2.8612 0.6663
Rh 0.0000 0.0000 5.0268
Rh 0.0000 2.4648 3.3972
Rh 0.0000 5.6537 0.6663


# 2
7
Lattice="4.0439 -2.7605 0.0000 4.0439 2.7605 0.0000 -2.0449 0.0000 4.5270" Properties=species:S:1:pos:R:3 comment="CeB2Rh4 (PBE, relaxed)" volume_a3_per_atom=14.44 formation_energy_ev_per_atom=-0.239 space_group="C2/m, No. 12" pbc="T T T"
Ce 0.0000 0.0000 0.0000
B 3.1336 0.0000 0.0324
B 2.9094 0.0000 4.4946
Rh 2.0013 1.3784 1.3735
Rh 4.0417 1.3784 3.1535
Rh 2.0013 -1.3784 1.3735
Rh 4.0417 -1.3784 3.1535


# 3
3
Lattice="3.7707 0.0000 0.0000 -1.8854 3.2655 0.0000 0.0000 0.0000 4.1156" Properties=species:S:1:pos:R:3 comment="CeBRh (PBE, relaxed)" volume_a3_per_atom=16.89 formation_energy_ev_per_atom=-0.477 polymorph_energy_ev_per_fu=0.00 space_group="P-6m2, No. 187" pbc="T T T"
Ce 0.0000 0.0000 0.0000
B 0.0000 2.1770 2.0578
Rh 1.8854 1.0885 2.0578


# 4
5
Lattice="4.2361 0.0000 0.0000 0.0000 4.2361 0.0000 0.0000 0.0000 4.2361" Properties=species:S:1:pos:R:3 comment="CeBRh3 (PBE, relaxed)" volume_a3_per_atom=15.20 formation_energy_ev_per_atom=-0.766 space_group="Pm-3m, No. 221" pbc="T T T"
Ce 0.0000 0.0000 0.0000
B 2.1180 2.1180 2.1180
Rh 0.0000 2.1180 2.1180
Rh 2.1180 0.0000 2.1180
Rh 2.1180 2.1180 0.0000


# 5
17
Lattice="-3.8929 3.8929 3.8929 3.8929 -3.8929 3.8929 3.8929 3.8929 -3.8929" Properties=species:S:1:pos:R:3 comment="CeB4Rh12 (PBE, relaxed)" volume_a3_per_atom=13.88 formation_energy_ev_per_atom=-0.151 space_group="Im-3, No. 204" pbc="T T T"
Ce 0.0000 0.0000 0.0000
B 1.9464 1.9464 -1.9464
B 1.9464 -1.9464 1.9464
B -1.9464 1.9464 1.9464
B 1.9464 1.9464 1.9464
Rh 3.8929 2.5508 -1.3968
Rh 2.4961 0.0000 1.3420
Rh 5.2897 0.0000 1.3420
Rh 1.3420 2.4961 0.0000
Rh 2.5508 -1.3968 3.8929
Rh 0.0000 1.3420 2.4961
Rh 3.8929 2.5508 1.3968
Rh 1.3420 5.2897 0.0000
Rh 2.5508 1.3968 3.8929
Rh -1.3968 3.8929 2.5508
Rh 1.3968 3.8929 2.5508
Rh 0.0000 1.3420 5.2897


# 6
8
Lattice="3.2017 -4.0259 0.0000 3.2017 4.0259 0.0000 -1.8406 0.0000 4.8098" Properties=species:S:1:pos:R:3 comment="CeBRh6 (PBE, relaxed)" volume_a3_per_atom=15.50 formation_energy_ev_per_atom=-0.155 space_group="C2/m, No. 12" pbc="T T T"
Ce 0.0000 0.0000 0.0000
B 2.2814 0.0000 2.4049
Rh 2.3017 1.6418 1.0529
Rh 0.2480 0.0000 3.0103
Rh 2.2611 1.6418 3.7569
Rh 2.3017 -1.6418 1.0529
Rh 4.3149 0.0000 1.7996
Rh 2.2611 -1.6418 3.7569


# 7
17
Lattice="5.6375 0.0000 0.0000 -2.8187 4.8822 0.0000 0.0000 0.0000 8.5847" Properties=species:S:1:pos:R:3 comment="Ce2B6Rh9 (PBE, relaxed)" volume_a3_per_atom=13.90 formation_energy_ev_per_atom=-0.620 space_group="P6/mmm, No. 191" pbc="T T T"
Ce 0.0000 0.0000 1.7454
Ce 0.0000 0.0000 6.8394
B 0.0000 3.2548 1.4336
B 0.0000 3.2548 4.2924
B 0.0000 3.2548 7.1511
B 2.8187 1.6274 1.4336
B 2.8187 1.6274 4.2924
B 2.8187 1.6274 7.1511
Rh -1.4094 2.4411 0.0000
Rh -1.4094 2.4411 2.8892
Rh -1.4094 2.4411 5.6955
Rh 2.8187 0.0000 0.0000
Rh 2.8187 0.0000 2.8892
Rh 2.8187 0.0000 5.6955
Rh 1.4094 2.4411 0.0000
Rh 1.4094 2.4411 2.8892
Rh 1.4094 2.4411 5.6955


# 8
3
Lattice="-1.4409 1.4409 5.4138 1.4409 -1.4409 5.4138 1.4409 1.4409 -5.4138" Properties=species:S:1:pos:R:3 comment="CeBRh (PBE, relaxed)" volume_a3_per_atom=14.99 formation_energy_ev_per_atom=-0.269 polymorph_energy_ev_per_fu=0.62 space_group="I4mm, No. 107" pbc="T T T"
Ce 0.0000 0.0000 0.0000
B 0.0000 0.0000 7.5120
Rh 0.0000 0.0000 2.9648


Number 1: density of states at the Fermi level 0.50 states/eV/atom. Number 2: density of states at the Fermi level 0.78 states/eV/atom. Number 3: density of states at the Fermi level 1.69 states/eV/atom. Number 4: density of states at the Fermi level 0.77 states/eV/atom. Number 5: density of states at the Fermi level 1.54 states/eV/atom. Number 6: density of states at the Fermi level 1.26 states/eV/atom. Number 7: density of states at the Fermi level 0.66 states/eV/atom. Number 8: density of states at the Fermi level 1.37 states/eV/atom.